# CdFe4Si (PBE-GGA, relaxed)
data_CdFe4Si
_cell_length_a 4.852
_cell_length_b 4.852
_cell_length_c 4.852
_cell_angle_alpha 60.00
_cell_angle_beta 60.00
_cell_angle_gamma 60.00
_space_group_name_H-M_alt 'P 1'
_space_group_IT_number 1
loop_
_space_group_symop_operation_xyz
'x,y,z'
loop_
_atom_site_label
_atom_site_type_symbol
_atom_site_fract_x
_atom_site_fract_y
_atom_site_fract_z
Cd1 Cd 0.000 0.000 0.000
Fe1 Fe 0.874 0.375 0.375
Fe2 Fe 0.375 0.375 0.874
Fe3 Fe 0.375 0.874 0.375
Fe4 Fe 0.375 0.375 0.375
Si1 Si 0.750 0.750 0.750
# space-group type = F-43m, No. 216
# M_tot = 8.747 μB/cell
# raw formation energy = 255 meV per atom

# Cd2FeSi (PBE-GGA, relaxed)
data_Cd2FeSi
_cell_length_a 9.174
_cell_length_b 9.174
_cell_length_c 9.174
_cell_angle_alpha 18.73
_cell_angle_beta 18.73
_cell_angle_gamma 18.73
_space_group_name_H-M_alt 'P 1'
_space_group_IT_number 1
loop_
_space_group_symop_operation_xyz
'x,y,z'
loop_
_atom_site_label
_atom_site_type_symbol
_atom_site_fract_x
_atom_site_fract_y
_atom_site_fract_z
Cd1 Cd 0.007 0.007 0.007
Cd2 Cd 0.238 0.238 0.238
Fe1 Fe 0.489 0.489 0.489
Si1 Si 0.766 0.766 0.766
# space-group type = R3m, No. 160
# M_tot = 1.913 μB/cell
# raw formation energy = 179 meV per atom

# Cd2FeSi (PBE-GGA, relaxed)
data_Cd2FeSi
_cell_length_a 3.047
_cell_length_b 3.047
_cell_length_c 7.163
_cell_angle_alpha 90.00
_cell_angle_beta 90.00
_cell_angle_gamma 90.00
_space_group_name_H-M_alt 'P 1'
_space_group_IT_number 1
loop_
_space_group_symop_operation_xyz
'x,y,z'
loop_
_atom_site_label
_atom_site_type_symbol
_atom_site_fract_x
_atom_site_fract_y
_atom_site_fract_z
Cd1 Cd 0.000 0.000 0.971
Cd2 Cd 0.500 0.500 0.287
Fe1 Fe 0.000 0.000 0.563
Si1 Si 0.500 0.500 0.679
# space-group type = P4mm, No. 99
# M_tot = 0.690 μB/cell
# raw formation energy = 100 meV per atom

# Cd2FeSi (PBE-GGA, relaxed)
data_Cd2FeSi
_cell_length_a 3.211
_cell_length_b 3.973
_cell_length_c 5.472
_cell_angle_alpha 90.00
_cell_angle_beta 90.00
_cell_angle_gamma 90.00
_space_group_name_H-M_alt 'P 1'
_space_group_IT_number 1
loop_
_space_group_symop_operation_xyz
'x,y,z'
loop_
_atom_site_label
_atom_site_type_symbol
_atom_site_fract_x
_atom_site_fract_y
_atom_site_fract_z
Cd1 Cd 0.000 0.000 0.005
Cd2 Cd 0.000 0.000 0.495
Fe1 Fe 0.500 0.500 0.250
Si1 Si 0.500 0.500 0.750
# space-group type = Pmmm, No. 47
# M_tot = 2.455 μB/cell
# raw formation energy = 436 meV per atom

# Cd2FeSi (PBE-GGA, relaxed)
data_Cd2FeSi
_cell_length_a 4.244
_cell_length_b 4.244
_cell_length_c 8.127
_cell_angle_alpha 62.19
_cell_angle_beta 62.19
_cell_angle_gamma 39.10
_space_group_name_H-M_alt 'P 1'
_space_group_IT_number 1
loop_
_space_group_symop_operation_xyz
'x,y,z'
loop_
_atom_site_label
_atom_site_type_symbol
_atom_site_fract_x
_atom_site_fract_y
_atom_site_fract_z
Cd1 Cd 0.926 0.926 0.942
Cd2 Cd 0.245 0.245 0.308
Fe1 Fe 0.524 0.524 0.625
Si1 Si 0.805 0.805 0.625
# space-group type = Cm, No. 8
# M_tot = 0.742 μB/cell
# raw formation energy = 140 meV per atom

# Cd2FeSi (PBE-GGA, relaxed)
data_Cd2FeSi
_cell_length_a 6.054
_cell_length_b 6.054
_cell_length_c 6.054
_cell_angle_alpha 152.12
_cell_angle_beta 135.31
_cell_angle_gamma 53.50
_space_group_name_H-M_alt 'P 1'
_space_group_IT_number 1
loop_
_space_group_symop_operation_xyz
'x,y,z'
loop_
_atom_site_label
_atom_site_type_symbol
_atom_site_fract_x
_atom_site_fract_y
_atom_site_fract_z
Cd1 Cd 0.995 0.995 0.000
Cd2 Cd 0.299 0.799 0.500
Fe1 Fe 0.523 0.523 0.000
Si1 Si 0.683 0.183 0.500
# space-group type = Imm2, No. 44
# M_tot = 1.561 μB/cell
# raw formation energy = 276 meV per atom

# Cd2FeSi (PBE-GGA, relaxed)
data_Cd2FeSi
_cell_length_a 5.238
_cell_length_b 5.238
_cell_length_c 5.238
_cell_angle_alpha 135.93
_cell_angle_beta 135.93
_cell_angle_gamma 64.08
_space_group_name_H-M_alt 'P 1'
_space_group_IT_number 1
loop_
_space_group_symop_operation_xyz
'x,y,z'
loop_
_atom_site_label
_atom_site_type_symbol
_atom_site_fract_x
_atom_site_fract_y
_atom_site_fract_z
Cd1 Cd 0.000 0.000 0.000
Cd2 Cd 0.500 0.500 0.000
Fe1 Fe 0.250 0.750 0.500
Si1 Si 0.750 0.250 0.500
# space-group type = I4/mmm, No. 139
# M_tot = 2.317 μB/cell
# raw formation energy = 406 meV per atom

# Cd2FeSi (PBE-GGA, relaxed)
data_Cd2FeSi
_cell_length_a 5.092
_cell_length_b 5.092
_cell_length_c 5.092
_cell_angle_alpha 133.61
_cell_angle_beta 133.61
_cell_angle_gamma 67.70
_space_group_name_H-M_alt 'P 1'
_space_group_IT_number 1
loop_
_space_group_symop_operation_xyz
'x,y,z'
loop_
_atom_site_label
_atom_site_type_symbol
_atom_site_fract_x
_atom_site_fract_y
_atom_site_fract_z
Cd1 Cd 0.000 0.000 0.000
Cd2 Cd 0.250 0.750 0.500
Fe1 Fe 0.500 0.500 0.000
Si1 Si 0.750 0.250 0.500
# space-group type = I-4m2, No. 119
# M_tot = 2.211 μB/cell
# raw formation energy = 390 meV per atom

# Cd2FeSi (PBE-GGA, relaxed)
data_Cd2FeSi
_cell_length_a 6.265
_cell_length_b 5.106
_cell_length_c 2.971
_cell_angle_alpha 90.48
_cell_angle_beta 60.80
_cell_angle_gamma 118.13
_space_group_name_H-M_alt 'P 1'
_space_group_IT_number 1
loop_
_space_group_symop_operation_xyz
'x,y,z'
loop_
_atom_site_label
_atom_site_type_symbol
_atom_site_fract_x
_atom_site_fract_y
_atom_site_fract_z
Cd1 Cd 0.000 0.000 0.000
Cd2 Cd 0.500 0.000 0.500
Fe1 Fe 0.000 0.500 0.500
Si1 Si 0.500 0.500 0.000
# space-group type = C2/m, No. 12
# M_tot = 2.545 μB/cell
# raw formation energy = 425 meV per atom

# Cd2FeSi (PBE-GGA, relaxed)
data_Cd2FeSi
_cell_length_a 3.707
_cell_length_b 2.773
_cell_length_c 6.993
_cell_angle_alpha 90.02
_cell_angle_beta 90.00
_cell_angle_gamma 90.00
_space_group_name_H-M_alt 'P 1'
_space_group_IT_number 1
loop_
_space_group_symop_operation_xyz
'x,y,z'
loop_
_atom_site_label
_atom_site_type_symbol
_atom_site_fract_x
_atom_site_fract_y
_atom_site_fract_z
Cd1 Cd 0.000 0.875 0.975
Cd2 Cd 0.500 0.376 0.269
Fe1 Fe 0.000 0.375 0.630
Si1 Si 0.500 0.875 0.626
# space-group type = Pmm2, No. 25
# M_tot = 0.867 μB/cell
# raw formation energy = 94 meV per atom

# CdFeSi (PBE-GGA, relaxed)
data_CdFeSi
_cell_length_a 2.915
_cell_length_b 2.915
_cell_length_c 6.372
_cell_angle_alpha 90.00
_cell_angle_beta 90.00
_cell_angle_gamma 120.00
_space_group_name_H-M_alt 'P 1'
_space_group_IT_number 1
loop_
_space_group_symop_operation_xyz
'x,y,z'
loop_
_atom_site_label
_atom_site_type_symbol
_atom_site_fract_x
_atom_site_fract_y
_atom_site_fract_z
Cd1 Cd 0.000 0.000 0.014
Fe1 Fe 0.333 0.667 0.369
Si1 Si 0.667 0.333 0.618
# space-group type = P3m1, No. 156
# M_tot = 1.710 μB/cell
# raw formation energy = 244 meV per atom
# E above lowest polymorph = 0.150 eV/atom

# Cd2FeSi (PBE-GGA, relaxed)
data_Cd2FeSi
_cell_length_a 4.057
_cell_length_b 4.057
_cell_length_c 4.189
_cell_angle_alpha 90.00
_cell_angle_beta 90.00
_cell_angle_gamma 90.00
_space_group_name_H-M_alt 'P 1'
_space_group_IT_number 1
loop_
_space_group_symop_operation_xyz
'x,y,z'
loop_
_atom_site_label
_atom_site_type_symbol
_atom_site_fract_x
_atom_site_fract_y
_atom_site_fract_z
Cd1 Cd 0.000 0.000 0.000
Cd2 Cd 0.500 0.500 0.000
Fe1 Fe 0.500 0.000 0.500
Si1 Si 0.000 0.500 0.500
# space-group type = P4/mmm, No. 123
# M_tot = 2.624 μB/cell
# raw formation energy = 419 meV per atom

# Cd2FeSi (PBE-GGA, relaxed)
data_Cd2FeSi
_cell_length_a 10.033
_cell_length_b 10.033
_cell_length_c 7.418
_cell_angle_alpha 47.45
_cell_angle_beta 47.45
_cell_angle_gamma 90.00
_space_group_name_H-M_alt 'P 1'
_space_group_IT_number 1
loop_
_space_group_symop_operation_xyz
'x,y,z'
loop_
_atom_site_label
_atom_site_type_symbol
_atom_site_fract_x
_atom_site_fract_y
_atom_site_fract_z
Si1 Si 0.500 0.500 0.000
Si2 Si 0.250 0.750 0.500
Fe1 Fe 0.000 0.000 0.000
Fe2 Fe 0.750 0.250 0.500
Cd1 Cd 0.875 0.125 0.250
Cd2 Cd 0.875 0.625 0.250
Cd3 Cd 0.375 0.125 0.750
Cd4 Cd 0.875 0.125 0.750
# space-group type = I4_1/amd, No. 141
# M_tot = 2.378 μB/cell
# raw formation energy = 442 meV per atom

# Cd2FeSi (PBE-GGA, relaxed)
data_Cd2FeSi
_cell_length_a 10.191
_cell_length_b 10.191
_cell_length_c 10.191
_cell_angle_alpha 16.19
_cell_angle_beta 16.19
_cell_angle_gamma 16.19
_space_group_name_H-M_alt 'P 1'
_space_group_IT_number 1
loop_
_space_group_symop_operation_xyz
'x,y,z'
loop_
_atom_site_label
_atom_site_type_symbol
_atom_site_fract_x
_atom_site_fract_y
_atom_site_fract_z
Cd1 Cd 0.993 0.993 0.993
Cd2 Cd 0.507 0.507 0.507
Fe1 Fe 0.250 0.250 0.250
Si1 Si 0.750 0.750 0.750
# space-group type = R-3m, No. 166
# M_tot = 2.671 μB/cell
# raw formation energy = 422 meV per atom